[1]
Here is CsHgSeBr2 after structural relaxation from Alexandria. Energies are from GGA-PBEsol.

Summary:
DFT total energy   -2.45 eV/atom
Crystal system   tetragonal
Fermi-level density of states   1.028 states/eV per atom

Unit cell a=5.6377 b=5.6377 c=5.2217 alpha=90.00 beta=90.00 gamma=90.00
Closest atoms and distances in Å follow each position.
Positions (direct):
Cs 0.0000 0.0000 0.0000  8 Br 3.84, 4 Se 3.99
Hg 0.5000 0.5000 0.5000  2 Se 2.61, 4 Br 2.82
Se 0.5000 0.5000 0.0000  2 Hg 2.61
Br 0.0000 0.5000 0.5000  2 Hg 2.82
Br 0.5000 0.0000 0.5000  2 Hg 2.82

[2]
Here is Gd after structural relaxation from Alexandria. Energies are from GGA-PBEsol.

Summary:
ΔE_f   0.00 eV/atom
Crystal system   trigonal
Fermi-level density of states   1.564 states/eV per atom
ΔE to the lowest computed polymorph   0 meV per atom

Unit cell a=8.7242 b=8.7242 c=8.7242 alpha=23.42 beta=23.42 gamma=23.42
Closest atoms and distances in Å follow each position.
Positions (direct):
Gd 0.0000 0.0000 0.0000  12 Gd 3.48-3.54
Gd 0.2224 0.2224 0.2224  12 Gd 3.48-3.54
Gd 0.7776 0.7776 0.7776  12 Gd 3.48-3.54

[3]
Here is ZnInSe2 after structural relaxation from Alexandria. Energies are from GGA-PBEsol.

Summary:
DFT total energy   -3.48 eV/atom
Crystal system   tetragonal
Fermi-level density of states   0.199 states/eV per atom

Unit cell a=3.9303 b=3.9303 c=5.5256 alpha=90.00 beta=90.00 gamma=90.00
Closest atoms and distances in Å follow each position.
Positions (direct):
Zn 0.0000 0.0000 0.0000  6 Se 2.76-2.78
In 0.5000 0.5000 0.5000  6 Se 2.76-2.78
Se 0.0000 0.0000 0.5000  2 Zn 2.76, 4 In 2.78
Se 0.5000 0.5000 0.0000  2 In 2.76, 4 Zn 2.78

[4]
Here is AgP3Ir after structural relaxation from Alexandria. Energies are from GGA-PBEsol.

Summary:
ΔE_f   1.71 eV/atom
Crystal system   cubic
Fermi-level density of states   0.757 states/eV per atom

Unit cell a=4.5651 b=4.5651 c=4.5651 alpha=90.00 beta=90.00 gamma=90.00
Closest atoms and distances in Å follow each position.
Positions (direct):
Ag 0.0000 0.0000 0.0000  6 P 2.28
P 0.0000 0.0000 0.5000  2 Ag 2.28
P 0.0000 0.5000 0.0000  2 Ag 2.28
P 0.5000 0.0000 0.0000  2 Ag 2.28
Ir 0.5000 0.5000 0.5000  12 P 3.23

Question: The highest Fermi-level density of states belongs to which entry?
Answer: Gd

Question: Among the records above, which one has the highest Fermi-level density of states?
Answer: Gd

Question: Look up the Fermi-level density of states of the first one.
Answer: 1.028 states/eV per atom